Entry 1:
A geometry-optimized Li3SeF structure, computed with PBEsol.

Output
Formation energy (no corrections): -1.329 eV per atom
V: 20.46 Å³ per atom
E: -18.32 eV per cell
Total magnetization: 0.09 μB per cell
Space group: Pm-3m

Unit cell a=4.677 b=4.677 c=4.677 alpha=90.00 beta=90.00 gamma=90.00
Positions (direct):
Li: 0.000 0.000 0.500
Li: 0.000 0.500 0.000
Li: 0.500 0.000 0.000
Se: 0.000 0.000 0.000
F: 0.500 0.500 0.500

---

Entry 2:
A geometry-optimized CaTlAg structure, computed with PBEsol.

Output
V: 23.95 Å³ per atom
E: -9.08 eV per cell
Total magnetization: 0.00 μB per cell
E_form: -337 meV/atom
Space group: P-6m2

Unit cell a=4.867 b=4.867 c=3.503 alpha=90.00 beta=90.00 gamma=120.00
Positions (direct):
Ca: 0.000 0.000 0.000
Tl: 0.333 0.667 0.500
Ag: 0.667 0.333 0.500

---

Entry 3:
A geometry-optimized Li2BeRu structure, computed with PBEsol.

Output
V: 12.90 Å³ per atom
E: -17.62 eV per cell
Total magnetization: 0.00 μB per cell
E_form: 121 meV/atom
Space group: P4mm

Unit cell a=2.988 b=2.988 c=5.780 alpha=90.00 beta=90.00 gamma=90.00
Positions (direct):
Li: 0.000 0.000 0.000
Li: 0.500 0.500 0.304
Be: 0.500 0.500 0.708
Ru: 0.000 0.000 0.568

---

Entry 4:
A geometry-optimized CdPd3 structure, computed with PBEsol.

Output
V: 15.46 Å³ per atom
E: -40.04 eV per cell
Total magnetization: 0.00 μB per cell
E_form: -237 meV/atom
Space group: P6_3/mmc

Unit cell a=5.594 b=5.594 c=4.563 alpha=90.00 beta=90.00 gamma=120.00
Positions (direct):
Cd: 0.333 0.667 0.250
Cd: 0.667 0.333 0.750
Pd: 0.165 0.329 0.750
Pd: 0.165 0.835 0.750
Pd: 0.329 0.165 0.250
Pd: 0.671 0.835 0.750
Pd: 0.835 0.165 0.250
Pd: 0.835 0.671 0.250